A.
Here is a geometry-optimized ZrTiPb2O6 structure from Alexandria. Energies are from PBEsol.

Crystal system: triclinic
M_tot: 0.00 μB per formula unit

abc: 4.130 4.140 7.951
angles: 89.71 89.74 88.52
Fractional coordinates of all 10 atoms:
1 Zr 0.000 0.000 0.000
2 Ti 0.975 0.976 0.500
3 Pb 0.447 0.446 0.250
4 Pb 0.448 0.447 0.730
5 O 0.035 0.536 0.506
6 O 0.042 0.044 0.266
7 O 0.043 0.046 0.741
8 O 0.044 0.516 0.010
9 O 0.515 0.047 0.010
10 O 0.533 0.037 0.506



B.
Here is a geometry-optimized ZrTiPb2O6 structure from Alexandria. Energies are from PBEsol.

Crystal system: tetragonal
M_tot: 0.00 μB per formula unit

abc: 5.636 5.636 4.263
angles: 90.00 90.00 90.00
Fractional coordinates of all 10 atoms:
1 Zr 0.000 0.000 0.000
2 Ti 0.500 0.500 0.987
3 Pb 0.000 0.500 0.440
4 Pb 0.500 0.000 0.440
5 O 0.000 0.000 0.534
6 O 0.258 0.258 0.078
7 O 0.258 0.742 0.078
8 O 0.500 0.500 0.574
9 O 0.742 0.258 0.078
10 O 0.742 0.742 0.078



The most stable of them is B.



A.
Here is a geometry-optimized Zr3Ti2Pb5O15 structure from Alexandria. Energies are from PBEsol.

Crystal system: monoclinic
M_tot: 0.00 μB per formula unit

abc: 14.491 14.491 4.249
angles: 90.27 90.27 22.60
Fractional coordinates of all 25 atoms:
1 Zr 0.000 0.000 0.000
2 Zr 0.396 0.396 0.003
3 Zr 0.604 0.604 0.003
4 Ti 0.203 0.203 0.993
5 Ti 0.798 0.798 0.993
6 Pb 0.105 0.105 0.441
7 Pb 0.298 0.298 0.447
8 Pb 0.501 0.501 0.435
9 Pb 0.704 0.704 0.448
10 Pb 0.898 0.898 0.439
11 O 0.083 0.607 0.079
12 O 0.199 0.697 0.078
13 O 0.203 0.203 0.576
14 O 0.305 0.797 0.078
15 O 0.390 0.918 0.079
16 O 0.394 0.394 0.536
17 O 0.500 0.999 0.082
18 O 0.604 0.604 0.537
19 O 0.607 0.083 0.079
20 O 0.697 0.199 0.078
21 O 0.796 0.796 0.577
22 O 0.797 0.305 0.078
23 O 0.918 0.390 0.079
24 O 0.999 0.500 0.082
25 O 0.999 0.999 0.535



B.
Here is a geometry-optimized Zr3Ti2Pb5O15 structure from Alexandria. Energies are from PBEsol.

Crystal system: trigonal
M_tot: 0.00 μB per formula unit

abc: 12.371 12.371 12.371
angles: 26.83 26.83 26.83
Fractional coordinates of all 25 atoms:
1 Zr 0.000 0.000 0.000
2 Zr 0.195 0.195 0.195
3 Zr 0.598 0.598 0.598
4 Ti 0.398 0.398 0.398
5 Ti 0.795 0.795 0.795
6 Pb 0.093 0.093 0.093
7 Pb 0.288 0.288 0.288
8 Pb 0.488 0.488 0.488
9 Pb 0.692 0.692 0.692
10 Pb 0.885 0.885 0.885
11 O 0.109 0.601 0.601
12 O 0.207 0.207 0.706
13 O 0.207 0.706 0.207
14 O 0.320 0.798 0.798
15 O 0.394 0.394 0.919
16 O 0.394 0.919 0.394
17 O 0.521 0.990 0.990
18 O 0.601 0.109 0.601
19 O 0.601 0.601 0.109
20 O 0.706 0.207 0.207
21 O 0.798 0.320 0.798
22 O 0.798 0.798 0.320
23 O 0.919 0.394 0.394
24 O 0.990 0.521 0.990
25 O 0.990 0.990 0.521



The most stable of them is A.



A.
Here is a geometry-optimized PbWO4 structure from Alexandria. Energies are from PBEsol.

Crystal system: tetragonal
M_tot: 0.00 μB per formula unit

abc: 7.093 7.093 7.093
angles: 134.70 134.70 66.00
Fractional coordinates of all 12 atoms:
1 Pb 0.375 0.125 0.250
2 Pb 0.625 0.875 0.750
3 W 0.125 0.375 0.750
4 W 0.875 0.625 0.250
5 O 0.062 0.691 0.836
6 O 0.191 0.855 0.629
7 O 0.273 0.438 0.129
8 O 0.355 0.227 0.664
9 O 0.645 0.773 0.336
10 O 0.727 0.562 0.871
11 O 0.809 0.145 0.371
12 O 0.938 0.309 0.164



B.
Here is a geometry-optimized PbWO4 structure from Alexandria. Energies are from PBEsol.

Crystal system: monoclinic
M_tot: 0.00 μB per formula unit

abc: 5.583 4.991 13.609
angles: 90.00 108.78 90.00
Fractional coordinates of all 24 atoms:
1 Pb 0.168 0.202 0.153
2 Pb 0.168 0.298 0.653
3 Pb 0.832 0.702 0.347
4 Pb 0.832 0.798 0.847
5 W 0.390 0.249 0.423
6 W 0.390 0.251 0.923
7 W 0.610 0.749 0.077
8 W 0.610 0.751 0.577
9 O 0.090 0.117 0.346
10 O 0.090 0.383 0.846
11 O 0.270 0.547 0.479
12 O 0.270 0.953 0.979
13 O 0.388 0.059 0.559
14 O 0.388 0.441 0.059
15 O 0.472 0.113 0.814
16 O 0.472 0.387 0.314
17 O 0.528 0.613 0.686
18 O 0.528 0.887 0.186
19 O 0.612 0.559 0.941
20 O 0.612 0.941 0.441
21 O 0.730 0.047 0.021
22 O 0.730 0.453 0.521
23 O 0.910 0.617 0.154
24 O 0.910 0.883 0.654



The most stable of them is B.



A.
Here is a geometry-optimized PbWO4 structure from Alexandria. Energies are from PBEsol.

Crystal system: monoclinic
M_tot: 0.00 μB per formula unit

abc: 7.358 7.049 14.585
angles: 90.00 119.36 90.00
Fractional coordinates of all 48 atoms:
1 Pb 0.005 0.195 0.348
2 Pb 0.005 0.305 0.848
3 Pb 0.469 0.063 0.848
4 Pb 0.469 0.437 0.348
5 Pb 0.531 0.563 0.652
6 Pb 0.531 0.937 0.152
7 Pb 0.995 0.695 0.152
8 Pb 0.995 0.805 0.652
9 W 0.005 0.663 0.417
10 W 0.005 0.837 0.917
11 W 0.432 0.050 0.586
12 W 0.432 0.450 0.086
13 W 0.568 0.550 0.914
14 W 0.568 0.950 0.414
15 W 0.995 0.163 0.083
16 W 0.995 0.337 0.583
17 O 0.141 0.576 0.579
18 O 0.141 0.924 0.079
19 O 0.162 0.248 0.715
20 O 0.162 0.252 0.215
21 O 0.169 0.509 0.387
22 O 0.169 0.991 0.887
23 O 0.173 0.631 0.973
24 O 0.173 0.869 0.473
25 O 0.210 0.223 0.543
26 O 0.210 0.277 0.043
27 O 0.361 0.702 0.830
28 O 0.361 0.798 0.330
29 O 0.399 0.583 0.183
30 O 0.399 0.917 0.683
31 O 0.410 0.138 0.442
32 O 0.410 0.362 0.942
33 O 0.590 0.638 0.058
34 O 0.590 0.862 0.558
35 O 0.601 0.083 0.317
36 O 0.601 0.417 0.817
37 O 0.639 0.202 0.670
38 O 0.639 0.298 0.170
39 O 0.790 0.723 0.957
40 O 0.790 0.777 0.457
41 O 0.827 0.131 0.527
42 O 0.827 0.369 0.027
43 O 0.831 0.009 0.113
44 O 0.831 0.491 0.613
45 O 0.838 0.748 0.785
46 O 0.838 0.752 0.285
47 O 0.859 0.076 0.921
48 O 0.859 0.424 0.421



B.
Here is a geometry-optimized PbWO4 structure from Alexandria. Energies are from PBEsol.

Crystal system: monoclinic
M_tot: 0.00 μB per formula unit

abc: 6.826 6.826 5.011
angles: 108.92 108.92 114.94
Fractional coordinates of all 12 atoms:
1 Pb 0.135 0.865 0.750
2 Pb 0.865 0.135 0.250
3 W 0.404 0.596 0.250
4 W 0.596 0.404 0.750
5 O 0.151 0.549 0.322
6 O 0.257 0.328 0.820
7 O 0.328 0.257 0.320
8 O 0.451 0.849 0.178
9 O 0.549 0.151 0.822
10 O 0.672 0.743 0.680
11 O 0.743 0.672 0.180
12 O 0.849 0.451 0.678



The most stable of them is A.